Entry 1:
{"formula": "HIr3O", "functional": "PBE", "state": "optimized geometry", "total_magnetization_mub_per_fu": 2.86, "crystal_system": "cubic", "e_above_lowest_polymorph_mev_per_atom": 0, "cell": [[-2.8698, -2.3580, -1.1743], [2.5293, -1.9811, -2.2029], [0.7362, -2.3854, 2.9905]], "species": ["H", "Ir", "Ir", "Ir", "O"], "frac_coords": [[0.0000, 0.0000, 0.0000], [0.0000, 0.5000, 0.0000], [0.0000, 0.0000, 0.5000], [0.5000, 0.0000, 0.0000], [0.5000, 0.5000, 0.5000]]}

---

Entry 2:
{"formula": "HIrO2", "functional": "PBE", "state": "optimized geometry", "total_magnetization_mub_per_fu": 0.00, "crystal_system": "trigonal", "e_tot_ev_per_atom": -6.187, "cell": [[-3.4891, 0.0833, 2.9904], [-3.9362, -2.2362, 0.7931], [-1.8643, -2.6941, 3.2233]], "species": ["H", "Ir", "O", "O"], "frac_coords": [[0.0000, 0.0000, 0.0000], [0.5000, 0.5000, 0.5000], [0.9051, 0.9051, 0.9051], [0.0949, 0.0949, 0.0949]]}

---

Entry 3:
{"formula": "HIrO2", "functional": "PBE", "state": "optimized geometry", "total_magnetization_mub_per_fu": 0.00, "crystal_system": "trigonal", "e_tot_ev_per_atom": -5.360, "cell": [[-5.8554, 0.2948, 0.3491], [-5.0405, 1.9873, 2.2670], [-5.1515, 2.8061, -0.2872]], "species": ["H", "Ir", "O", "O"], "frac_coords": [[0.5000, 0.5000, 0.5000], [0.0000, 0.0000, 0.0000], [0.8923, 0.8923, 0.8923], [0.1077, 0.1077, 0.1077]]}

---

Entry 4:
{"formula": "P2HIrO", "functional": "PBE", "state": "optimized geometry", "total_magnetization_mub_per_fu": 0.00, "crystal_system": "tetragonal", "e_above_lowest_polymorph_mev_per_atom": 115, "cell": [[4.7772, 0.0000, 0.0000], [0.0000, 4.7772, 0.0000], [0.0000, 0.0000, 3.7067]], "species": ["P", "P", "Ir", "O", "H"], "frac_coords": [[0.0000, 0.5000, 0.0000], [0.5000, 0.0000, 0.0000], [0.0000, 0.0000, 0.0000], [0.0000, 0.0000, 0.5000], [0.5000, 0.5000, 0.5000]]}

---

Entry 5:
{"formula": "P2HIrO", "functional": "PBE", "state": "optimized geometry", "total_magnetization_mub_per_fu": 0.00, "crystal_system": "tetragonal", "e_above_lowest_polymorph_mev_per_atom": 0, "cell": [[3.5248, 0.0000, 0.0000], [0.0000, 3.5248, 0.0000], [0.0000, 0.0000, 4.1655]], "species": ["P", "P", "Ir", "O", "H"], "frac_coords": [[0.0000, 0.5000, 0.0000], [0.5000, 0.0000, 0.0000], [0.5000, 0.5000, 0.5000], [0.0000, 0.0000, 0.5000], [0.0000, 0.0000, 0.0000]]}

---

Entry 6:
{"formula": "PaHIrO6", "functional": "PBE", "state": "optimized geometry", "total_magnetization_mub_per_fu": 2.12, "crystal_system": "tetragonal", "e_tot_ev_per_atom": -7.285, "cell": [[-2.1719, -1.6444, 3.9352], [3.9054, -2.5413, 1.0935], [3.5752, 7.7339, 5.2050]], "species": ["Pa", "Pa", "H", "H", "Ir", "Ir", "O", "O", "O", "O", "O", "O", "O", "O", "O", "O", "O", "O"], "frac_coords": [[0.5000, 0.5000, 0.1539], [0.0000, 0.0000, 0.6539], [0.5000, 0.5000, 0.6147], [0.0000, 0.0000, 0.1147], [0.5000, 0.5000, 0.8322], [0.0000, 0.0000, 0.3322], [0.1876, 0.8124, 0.4771], [0.8124, 0.1876, 0.4771], [0.3124, 0.3124, 0.9771], [0.6876, 0.6876, 0.9771], [0.1721, 0.8279, 0.1611], [0.8279, 0.1721, 0.1611], [0.3279, 0.3279, 0.6611], [0.6721, 0.6721, 0.6611], [0.7771, 0.2229, 0.8114], [0.2229, 0.7771, 0.8114], [0.7229, 0.7229, 0.3114], [0.2771, 0.2771, 0.3114]]}

---

Entry 7:
{"formula": "HIrPb2O6", "functional": "PBE", "state": "optimized geometry", "total_magnetization_mub_per_fu": 0.00, "crystal_system": "monoclinic", "e_tot_ev_per_atom": -5.794, "cell": [[0.4942, 5.4749, 2.4583], [-5.9816, -0.2514, -0.6473], [2.5130, -4.3131, 2.7126]], "species": ["H", "Ir", "Pb", "Pb", "O", "O", "O", "O", "O", "O"], "frac_coords": [[0.6166, 0.6171, 0.2998], [0.9719, 0.9724, 0.9649], [0.8565, 0.2835, 0.6095], [0.2830, 0.8570, 0.6095], [0.6526, 0.6530, 0.7458], [0.7952, 0.7957, 0.4574], [0.2247, 0.2252, 0.9800], [0.7671, 0.1962, 0.9622], [0.1357, 0.1362, 0.4067], [0.1957, 0.7676, 0.9622]]}

---

Entry 8:
{"formula": "HIr2PdO", "functional": "PBE", "state": "optimized geometry", "total_magnetization_mub_per_fu": 2.74, "crystal_system": "tetragonal", "e_tot_ev_per_atom": -5.389, "cell": [[-2.2253, 0.1105, -3.0206], [1.7062, -3.6326, -1.3898], [-2.6196, -1.9416, 1.8590]], "species": ["H", "Ir", "Ir", "O", "Pd"], "frac_coords": [[0.0000, 0.0000, 0.0000], [0.0000, 0.0000, 0.5000], [0.5000, 0.0000, 0.0000], [0.0000, 0.5000, 0.0000], [0.5000, 0.5000, 0.5000]]}

---

Entry 9:
{"formula": "Pm2HIrO6", "functional": "PBE", "state": "optimized geometry", "total_magnetization_mub_per_fu": 2.05, "crystal_system": "monoclinic", "e_tot_ev_per_atom": -7.184, "cell": [[6.3941, 0.0000, 0.3127], [0.0000, 6.6338, 0.0000], [0.4556, 0.0000, 6.1931]], "species": ["Pm", "Pm", "Pm", "Pm", "H", "H", "Ir", "Ir", "O", "O", "O", "O", "O", "O", "O", "O", "O", "O", "O", "O"], "frac_coords": [[0.8816, 0.8898, 0.2638], [0.6184, 0.3898, 0.2362], [0.3816, 0.6102, 0.7638], [0.1184, 0.1102, 0.7362], [0.0000, 0.5000, 0.0000], [0.5000, 0.0000, 0.5000], [0.0000, 0.5000, 0.5000], [0.5000, 0.0000, 0.0000], [0.0383, 0.4498, 0.8144], [0.8013, 0.0962, 0.9750], [0.9109, 0.2218, 0.4539], [0.5891, 0.7218, 0.0461], [0.6987, 0.5962, 0.5250], [0.4617, 0.9498, 0.6856], [0.5383, 0.0502, 0.3144], [0.3013, 0.4038, 0.4750], [0.4109, 0.2782, 0.9539], [0.1987, 0.9038, 0.0250], [0.0891, 0.7782, 0.5461], [0.9617, 0.5502, 0.1856]]}

---

Entry 10:
{"formula": "PmH2IrO6", "functional": "PBE", "state": "optimized geometry", "total_magnetization_mub_per_fu": 1.82, "crystal_system": "triclinic", "e_tot_ev_per_atom": -6.336, "cell": [[-3.1638, 0.6708, 4.2041], [-1.6033, -0.9869, -5.0967], [2.3987, -5.0452, -0.0293]], "species": ["Pm", "H", "H", "Ir", "O", "O", "O", "O", "O", "O"], "frac_coords": [[0.9865, 0.4902, 0.4732], [0.5486, 0.6720, 0.1818], [0.5866, 0.4264, 0.7718], [0.9924, 0.0086, 0.9805], [0.5544, 0.8902, 0.7659], [0.3839, 0.0509, 0.2076], [0.7916, 0.7584, 0.2288], [0.1372, 0.3731, 0.1788], [0.8173, 0.5929, 0.7740], [0.1673, 0.2150, 0.7404]]}

---

Entry 11:
{"formula": "Pm2H2IrO6", "functional": "PBE", "state": "optimized geometry", "total_magnetization_mub_per_fu": 0.98, "crystal_system": "trigonal", "e_tot_ev_per_atom": -6.697, "cell": [[5.0643, 0.0000, 0.0000], [2.5321, 4.3858, 0.0000], [2.5321, 1.4619, 5.1095]], "species": ["Pm", "Pm", "H", "H", "Ir", "O", "O", "O", "O", "O", "O"], "frac_coords": [[0.7766, 0.7766, 0.6701], [0.2234, 0.2234, 0.3299], [0.4186, 0.4186, 0.7442], [0.5814, 0.5814, 0.2558], [0.0000, 0.0000, 0.0000], [0.7414, 0.7414, 0.2679], [0.2494, 0.7414, 0.2679], [0.7414, 0.2494, 0.2679], [0.2586, 0.7506, 0.7321], [0.7506, 0.2586, 0.7321], [0.2586, 0.2586, 0.7321]]}

---

Entry 12:
{"formula": "Pr2HIrO6", "functional": "PBE", "state": "optimized geometry", "total_magnetization_mub_per_fu": 1.96, "crystal_system": "monoclinic", "e_tot_ev_per_atom": -6.891, "cell": [[-0.7447, -5.3032, -0.8874], [1.8453, 0.5533, -4.8553], [3.3410, 1.7407, 4.2780]], "species": ["Pr", "Pr", "H", "Ir", "O", "O", "O", "O", "O", "O"], "frac_coords": [[0.2405, 0.2572, 0.5144], [0.7595, 0.7428, 0.4856], [0.5000, 0.0000, 0.0000], [0.0000, 0.5000, 0.0000], [0.3179, 0.7333, 0.4666], [0.2061, 0.1915, 0.8980], [0.7939, 0.2935, 0.1020], [0.2061, 0.7065, 0.8980], [0.7939, 0.8085, 0.1020], [0.6821, 0.2667, 0.5334]]}

---

Entry 13:
{"formula": "HIr2PtO", "functional": "PBE", "state": "optimized geometry", "total_magnetization_mub_per_fu": 0.00, "crystal_system": "tetragonal", "e_tot_ev_per_atom": -5.045, "cell": [[-1.3910, -3.6585, -0.7080], [3.6497, -1.7449, 1.8456], [-1.7963, -0.0038, 3.5488]], "species": ["H", "Ir", "Ir", "O", "Pt"], "frac_coords": [[0.5000, 0.5000, 0.5000], [0.0000, 0.0000, 0.5000], [0.5000, 0.0000, 0.0000], [0.0000, 0.0000, 0.0000], [0.0000, 0.5000, 0.0000]]}

---

Entry 14:
{"formula": "PuH2IrO6", "functional": "PBE", "state": "optimized geometry", "total_magnetization_mub_per_fu": 1.29, "crystal_system": "monoclinic", "e_tot_ev_per_atom": -7.427, "cell": [[5.3417, 0.0000, 0.2354], [0.0000, 5.4945, 0.0000], [0.2264, 0.0000, 8.3951]], "species": ["Pu", "Pu", "H", "H", "H", "H", "Ir", "Ir", "O", "O", "O", "O", "O", "O", "O", "O", "O", "O", "O", "O"], "frac_coords": [[0.0000, 0.5000, 0.0000], [0.5000, 0.0000, 0.5000], [0.2379, 0.6641, 0.2586], [0.2621, 0.1641, 0.2414], [0.7379, 0.8359, 0.7586], [0.7621, 0.3359, 0.7414], [0.0000, 0.5000, 0.5000], [0.5000, 0.0000, 0.0000], [0.8726, 0.4800, 0.7350], [0.7807, 0.2155, 0.0410], [0.7915, 0.2195, 0.4534], [0.7085, 0.7195, 0.0466], [0.7193, 0.7155, 0.4590], [0.6274, 0.9800, 0.7650], [0.3726, 0.0200, 0.2350], [0.2807, 0.2845, 0.5410], [0.2915, 0.2805, 0.9534], [0.2193, 0.7845, 0.9590], [0.2085, 0.7805, 0.5466], [0.1274, 0.5200, 0.2650]]}

---

Entry 15:
{"formula": "RbZnHIrO", "functional": "PBE", "state": "optimized geometry", "total_magnetization_mub_per_fu": 0.26, "crystal_system": "monoclinic", "e_above_lowest_polymorph_mev_per_atom": 51, "cell": [[-1.2387, -0.3459, -2.6351], [-0.6927, -4.0759, 0.8606], [-5.8093, 1.5754, 2.7851]], "species": ["Rb", "Zn", "H", "Ir", "O"], "frac_coords": [[0.2559, 0.0000, 0.7089], [0.7924, 0.0000, 0.1967], [0.3126, 0.5000, 0.3795], [0.2891, 0.5000, 0.1362], [0.7710, 0.5000, 0.9006]]}

---

Entry 16:
{"formula": "RbZnHIrO", "functional": "PBE", "state": "optimized geometry", "total_magnetization_mub_per_fu": 0.20, "crystal_system": "monoclinic", "e_above_lowest_polymorph_mev_per_atom": 46, "cell": [[-0.1312, 4.1180, -1.0428], [-1.1233, 0.6282, 2.6220], [12.4181, -1.1516, 5.5959]], "species": ["Rb", "Rb", "Zn", "Zn", "H", "H", "Ir", "Ir", "O", "O"], "frac_coords": [[0.1524, 0.0000, 0.1431], [0.1524, 0.5000, 0.6431], [0.9894, 0.0000, 0.3997], [0.9894, 0.5000, 0.8997], [0.4618, 0.0000, 0.8134], [0.4618, 0.5000, 0.3134], [0.5122, 0.0000, 0.9333], [0.5122, 0.5000, 0.4333], [0.5882, 0.0000, 0.5497], [0.5882, 0.5000, 0.0497]]}

---

Entry 17:
{"formula": "RbZnHIrO", "functional": "PBE", "state": "optimized geometry", "total_magnetization_mub_per_fu": 0.91, "crystal_system": "monoclinic", "e_above_lowest_polymorph_mev_per_atom": 0, "cell": [[3.9282, 0.0000, -0.0014], [0.0000, 3.1490, 0.0000], [-1.8990, 0.0000, 7.1045]], "species": ["Rb", "Zn", "H", "Ir", "O"], "frac_coords": [[0.8541, 0.0000, 0.7110], [0.0990, 0.0000, 0.2204], [0.6719, 0.5000, 0.3770], [0.5603, 0.5000, 0.1406], [0.4326, 0.5000, 0.8728]]}

---

Entry 18:
{"formula": "RbZnHIrO", "functional": "PBE", "state": "optimized geometry", "total_magnetization_mub_per_fu": 0.78, "crystal_system": "monoclinic", "e_above_lowest_polymorph_mev_per_atom": 74, "cell": [[-4.2470, 2.4009, -3.9580], [-2.1024, -2.2728, 0.8772], [-2.5350, 5.3617, 7.8156]], "species": ["Rb", "Rb", "Zn", "Zn", "H", "H", "Ir", "Ir", "O", "O"], "frac_coords": [[0.3582, 0.0000, 0.1006], [0.3582, 0.5000, 0.6006], [0.8711, 0.0000, 0.8172], [0.8711, 0.5000, 0.3172], [0.5969, 0.0000, 0.3941], [0.5969, 0.5000, 0.8941], [0.8197, 0.0000, 0.5037], [0.8197, 0.5000, 0.0037], [0.0323, 0.0000, 0.6649], [0.0323, 0.5000, 0.1649]]}

---

Entry 19:
{"formula": "RbZnHIrO", "functional": "PBE", "state": "optimized geometry", "total_magnetization_mub_per_fu": 0.46, "crystal_system": "monoclinic", "e_above_lowest_polymorph_mev_per_atom": 137, "cell": [[-2.0175, 1.3123, 1.8786], [-2.9649, -2.4795, -1.4521], [4.9812, -10.6688, 8.0468]], "species": ["Rb", "Rb", "Zn", "Zn", "H", "H", "Ir", "Ir", "O", "O"], "frac_coords": [[0.4954, 0.0000, 0.8691], [0.4954, 0.5000, 0.3691], [0.7288, 0.0000, 0.1137], [0.7288, 0.5000, 0.6137], [0.7713, 0.0000, 0.6568], [0.7713, 0.5000, 0.1568], [0.1963, 0.0000, 0.5795], [0.1963, 0.5000, 0.0795], [0.0653, 0.0000, 0.4419], [0.0653, 0.5000, 0.9419]]}

---

Entry 20:
{"formula": "RbZnHIrO", "functional": "PBE", "state": "optimized geometry", "total_magnetization_mub_per_fu": 0.00, "crystal_system": "monoclinic", "e_above_lowest_polymorph_mev_per_atom": 97, "cell": [[-1.5704, 0.4210, 4.0310], [-0.4743, -2.9102, 0.1191], [6.7117, -1.0757, 0.4464]], "species": ["Rb", "Zn", "H", "Ir", "O"], "frac_coords": [[0.1253, 0.5000, 0.2783], [0.8839, 0.0000, 0.7815], [0.3369, 0.0000, 0.6791], [0.4206, 0.5000, 0.8577], [0.5294, 0.0000, 0.0815]]}

---

Entry 21:
{"formula": "RbZnHIrO", "functional": "PBE", "state": "optimized geometry", "total_magnetization_mub_per_fu": 0.00, "crystal_system": "monoclinic", "e_above_lowest_polymorph_mev_per_atom": 136, "cell": [[-3.1338, -2.8056, 2.7183], [2.1116, -0.3986, 2.0230], [-2.1836, 11.3959, 4.5249]], "species": ["Rb", "Rb", "Zn", "Zn", "H", "H", "Ir", "Ir", "O", "O"], "frac_coords": [[0.2563, 0.0000, 0.8126], [0.2563, 0.5000, 0.3126], [0.8874, 0.0000, 0.5323], [0.8874, 0.5000, 0.0323], [0.7579, 0.0000, 0.2093], [0.7579, 0.5000, 0.7093], [0.5377, 0.0000, 0.0950], [0.5377, 0.5000, 0.5950], [0.2646, 0.0000, 0.5116], [0.2646, 0.5000, 0.0116]]}

---

Entry 22:
{"formula": "RbZnHIrO", "functional": "PBE", "state": "optimized geometry", "total_magnetization_mub_per_fu": 0.00, "crystal_system": "monoclinic", "e_above_lowest_polymorph_mev_per_atom": 139, "cell": [[6.5344, 0.0000, -0.0071], [0.0000, 3.1293, 0.0000], [-2.8966, 0.0000, 8.5085]], "species": ["Rb", "Rb", "Zn", "Zn", "H", "H", "Ir", "Ir", "O", "O"], "frac_coords": [[0.6935, 0.0000, 0.2794], [0.6935, 0.5000, 0.7794], [0.1207, 0.0000, 0.0982], [0.1207, 0.5000, 0.5982], [0.3343, 0.0000, 0.4400], [0.3343, 0.5000, 0.9400], [0.2185, 0.0000, 0.8561], [0.2185, 0.5000, 0.3561], [0.9548, 0.0000, 0.6460], [0.9548, 0.5000, 0.1460]]}

---

Entry 23:
{"formula": "RbZnHIrO", "functional": "PBE", "state": "optimized geometry", "total_magnetization_mub_per_fu": 0.91, "crystal_system": "triclinic", "e_above_lowest_polymorph_mev_per_atom": 8, "cell": [[-0.6737, 2.0093, 2.3636], [0.0462, -2.9502, 2.5252], [6.7552, 1.4328, 1.7651]], "species": ["Rb", "Zn", "H", "Ir", "O"], "frac_coords": [[0.7293, 0.0297, 0.2928], [0.8554, 0.0466, 0.7812], [0.3880, 0.5479, 0.6197], [0.3349, 0.5437, 0.8578], [0.2712, 0.5360, 0.1267]]}

---

Entry 24:
{"formula": "RbZnHIrO", "functional": "PBE", "state": "optimized geometry", "total_magnetization_mub_per_fu": 0.90, "crystal_system": "orthorhombic", "e_above_lowest_polymorph_mev_per_atom": 8, "cell": [[-1.2439, -2.3170, 2.8556], [2.9148, -0.0047, 1.2658], [-3.3603, 11.3930, 7.7804]], "species": ["Rb", "Rb", "Zn", "Zn", "H", "H", "Ir", "Ir", "O", "O"], "frac_coords": [[0.0000, 0.0000, 0.8543], [0.0000, 0.5000, 0.3543], [0.0000, 0.0000, 0.1097], [0.0000, 0.5000, 0.6097], [0.5000, 0.0000, 0.6894], [0.5000, 0.5000, 0.1894], [0.5000, 0.0000, 0.5708], [0.5000, 0.5000, 0.0708], [0.5000, 0.0000, 0.4367], [0.5000, 0.5000, 0.9367]]}